Entry 1:
First-principles (GGA-PBE) data for a relaxed Sm3ErPb5 crystal, as listed in Alexandria.

Cell lengths 9.6397, 9.6397, 6.5850 Å; angles 90.00, 90.00, 120.00 degrees
With the nearest neighbours (Å) after each atom.
Space group P6_3/mcm (No. 193)
Inequivalent atoms, fractional coordinates:
Sm 0.0000 0.3820 0.2500  9 Pb 3.23-3.43
Er 0.0000 0.0000 0.0000  6 Pb 3.19, 2 Er 3.29
Pb 0.0000 0.2834 0.7500  2 Er 3.19, 5 Sm 3.23-3.43
Pb 0.3333 0.6667 0.0000  2 Pb 3.29, 6 Sm 3.43

crystal system = hexagonal
energy of formation from the pure elements = -397 kJ/mol of formula units
theoretical density = 10.37 g cm⁻³



Entry 2:
First-principles (GGA-PBE) data for a relaxed SmErPb2 crystal, as listed in Alexandria.

Cell lengths 3.5600, 3.5600, 8.9958 Å; angles 90.00, 90.00, 90.00 degrees
With the nearest neighbours (Å) after each atom.
Space group P4/mmm (No. 123)
Inequivalent atoms, fractional coordinates:
Sm 0.0000 0.0000 0.0000  8 Pb 3.42, 4 Sm 3.56
Er 0.0000 0.0000 0.5000  8 Pb 3.33, 4 Er 3.56
Pb 0.5000 0.5000 0.2568  4 Er 3.33, 4 Sm 3.42, 4 Pb 3.56

crystal system = tetragonal
energy of formation from the pure elements = -171 kJ/mol of formula units
theoretical density = 10.66 g cm⁻³



Entry 3:
First-principles (GGA-PBE) data for a relaxed Sm4ErPb2 crystal, as listed in Alexandria.

Cell lengths 5.4603, 5.4603, 16.8195 Å; angles 90.00, 90.00, 90.00 degrees
With the nearest neighbours (Å) after each atom.
Space group I4/mmm (No. 139)
Inequivalent atoms, fractional coordinates:
Sm 0.0000 0.0000 0.1832  1 Er 3.08, 1 Pb 3.13
Sm 0.0000 0.5000 0.0000  2 Er 2.73
Er 0.0000 0.0000 0.0000  4 Sm 2.73
Pb 0.0000 0.0000 0.3691  1 Sm 3.13

crystal system = tetragonal
energy of formation from the pure elements = 240 kJ/mol of formula units
theoretical density = 7.84 g cm⁻³



Entry 4:
First-principles (GGA-PBE) data for a relaxed Sm8Er6Pb crystal, as listed in Alexandria.

Cell lengths 9.3494, 9.3494, 6.4732 Å; angles 90.00, 90.00, 120.00 degrees
With the nearest neighbours (Å) after each atom.
Space group P-3 (No. 147)
Inequivalent atoms, fractional coordinates:
Sm 0.0422 0.7698 0.1797  1 Pb 3.15, 3 Sm 3.31-3.32, 2 Er 3.35-3.50
Sm 0.3333 0.6667 0.1728  3 Sm 3.31
Er 0.0979 0.6473 0.6695  1 Er 3.27, 5 Sm 3.35-3.64
Pb 0.0000 0.0000 0.5000  6 Sm 3.15

crystal system = trigonal
energy of formation from the pure elements = 111 kJ/mol of formula units
theoretical density = 8.18 g cm⁻³



Entry 5:
First-principles (GGA-PBE) data for a relaxed Sm2Er3Pb2 crystal, as listed in Alexandria.

Cell lengths 12.1505, 4.4749, 8.5901 Å; angles 90.00, 110.54, 90.00 degrees
With the nearest neighbours (Å) after each atom.
Space group C2/m (No. 12)
Inequivalent atoms, fractional coordinates:
Sm 0.1324 0.0000 0.2851  3 Pb 3.24-3.43, 2 Er 3.62
Er 0.0000 0.5000 0.5000  4 Pb 3.13
Er 0.1223 0.5000 0.9386  3 Pb 3.22-3.23, 2 Er 3.49-3.53
Pb 0.1714 0.0000 0.7008  5 Er 3.13-3.23, 3 Sm 3.24-3.43

crystal system = monoclinic
energy of formation from the pure elements = -212 kJ/mol of formula units
theoretical density = 9.24 g cm⁻³



Entry 6:
First-principles (GGA-PBE) data for a relaxed Sm6Er8Pb crystal, as listed in Alexandria.

Cell lengths 9.2672, 9.2672, 6.6865 Å; angles 90.00, 90.00, 120.00 degrees
With the nearest neighbours (Å) after each atom.
Space group P-3 (No. 147)
Inequivalent atoms, fractional coordinates:
Sm 0.0795 0.6836 0.1028  3 Er 3.19-3.47, 1 Sm 3.26, 1 Pb 3.43
Er 0.0177 0.3314 0.3936  3 Sm 3.19-3.47, 3 Er 3.30-3.31
Er 0.3333 0.6667 0.6777  6 Er 3.30-3.57
Pb 0.0000 0.0000 0.0000  6 Sm 3.43

crystal system = trigonal
energy of formation from the pure elements = 265 kJ/mol of formula units
theoretical density = 8.17 g cm⁻³



Entry 7:
First-principles (GGA-PBE) data for a relaxed SmErSnPb crystal, as listed in Alexandria.

Cell lengths 7.6832, 7.6832, 7.6832 Å; angles 90.00, 90.00, 90.00 degrees
With the nearest neighbours (Å) after each atom.
Space group F-43m (No. 216)
Inequivalent atoms, fractional coordinates:
Sm 0.0000 0.0000 0.0000  4 Pb 3.33, 4 Sn 3.33
Er 0.0000 0.0000 0.5000  4 Sn 3.33, 4 Pb 3.33
Sn 0.2500 0.2500 0.2500  4 Er 3.33, 4 Sm 3.33
Pb 0.2500 0.2500 0.7500  4 Er 3.33, 4 Sm 3.33

crystal system = cubic
energy of formation from the pure elements = -179 kJ/mol of formula units
theoretical density = 9.42 g cm⁻³



Entry 8:
First-principles (GGA-PBE) data for a relaxed SmErTePb crystal, as listed in Alexandria.

Cell lengths 4.4462, 4.4462, 21.7772 Å; angles 90.00, 90.00, 120.00 degrees
With the nearest neighbours (Å) after each atom.
Space group R3m (No. 160, hexagonal axes)
Inequivalent atoms, fractional coordinates:
Sm 0.0000 0.0000 0.0000  3 Pb 3.14, 3 Te 3.22
Er 0.0000 0.0000 0.4937  3 Pb 3.07, 3 Te 3.15
Te 0.0000 0.0000 0.2440  3 Er 3.15, 3 Sm 3.22
Pb 0.0000 0.0000 0.7493  3 Er 3.07, 3 Sm 3.14

crystal system = trigonal
theoretical density = 8.72 g cm⁻³
energy relative to the elements, uncorrected = -3.753 eV per formula unit



Entry 9:
First-principles (GGA-PBE) data for a relaxed Sm2Er6Tm3Pb crystal, as listed in Alexandria.

Cell lengths 6.0420, 10.4711, 11.6443 Å; angles 90.00, 100.01, 90.00 degrees
With the nearest neighbours (Å) after each atom.
Space group C2/m (No. 12)
Inequivalent atoms, fractional coordinates:
Sm 0.0000 0.1661 0.0000  3 Sm 3.48-3.49, 3 Pb 3.49-3.50, 6 Er 3.53
Er 0.2450 0.5000 0.7473  6 Er 3.44-3.52, 3 Tm 3.47-3.49, 1 Pb 3.52, 2 Sm 3.53
Er 0.2472 0.3358 0.2516  6 Er 3.44-3.52, 3 Tm 3.48-3.51, 1 Pb 3.50, 2 Sm 3.53
Tm 0.0000 0.0000 0.5000  6 Er 3.48-3.49, 6 Tm 3.49
Tm 0.0000 0.3329 0.5000  6 Er 3.47-3.51, 6 Tm 3.48-3.50
Pb 0.0000 0.5000 0.0000  6 Sm 3.49-3.50, 6 Er 3.50-3.52

crystal system = monoclinic
energy of formation from the pure elements = -68 kJ/mol of formula units
theoretical density = 9.24 g cm⁻³



Entry 10:
First-principles (GGA-PBE) data for a relaxed Sm2Y3Er6Pb crystal, as listed in Alexandria.

Cell lengths 6.0845, 10.5455, 11.6903 Å; angles 90.00, 100.03, 90.00 degrees
With the nearest neighbours (Å) after each atom.
Space group C2/m (No. 12)
Inequivalent atoms, fractional coordinates:
Sm 0.0000 0.1662 0.0000  3 Sm 3.50-3.52, 3 Pb 3.51-3.52, 6 Er 3.52-3.53
Y 0.0000 0.0000 0.5000  6 Y 3.51-3.52, 6 Er 3.52-3.54
Y 0.0000 0.3330 0.5000  6 Y 3.51-3.52, 6 Er 3.52-3.55
Er 0.2453 0.5000 0.7501  6 Er 3.46-3.54, 1 Pb 3.50, 3 Y 3.52-3.54, 2 Sm 3.53
Er 0.2463 0.3360 0.2489  6 Er 3.46-3.54, 1 Pb 3.49, 3 Y 3.52-3.55, 2 Sm 3.52
Pb 0.0000 0.5000 0.0000  6 Er 3.49-3.50, 6 Sm 3.51-3.52

crystal system = monoclinic
energy of formation from the pure elements = -66 kJ/mol of formula units
theoretical density = 8.00 g cm⁻³



Entry 11:
First-principles (GGA-PBE) data for a relaxed Er2SnPb crystal, as listed in Alexandria.

Cell lengths 6.1518, 4.3588, 8.7944 Å; angles 90.00, 109.36, 90.00 degrees
With the nearest neighbours (Å) after each atom.
Space group P2_1/m (No. 11)
Inequivalent atoms, fractional coordinates:
Er 0.1878 0.2500 0.4313  4 Pb 3.09-3.43, 3 Sn 3.11-3.43
Er 0.2957 0.7500 0.0625  3 Sn 3.10-3.11, 3 Pb 3.16-3.47
Sn 0.1062 0.2500 0.7989  6 Er 3.10-3.43, 2 Pb 3.15
Pb 0.4033 0.7500 0.6994  6 Er 3.09-3.43, 2 Sn 3.15

crystal system = monoclinic
energy of formation from the pure elements = -214 kJ/mol of formula units
energy relative to the lowest polymorph listed for this composition = 0.00 eV/f.u.
theoretical density = 9.86 g cm⁻³